(one)
Crystalline ThZrZn at its relaxed geometry, computed with GGA-PBE.

Unit cell a=6.9805 b=6.9805 c=6.9805 alpha=90.00 beta=90.00 gamma=90.00
With the nearest neighbours (Å) after each atom.
Positions (direct):
Th 0.0000 0.0000 0.0000  4 Zr 3.02, 4 Zn 3.02
Th 0.0000 0.5000 0.5000  4 Zr 3.02, 4 Zn 3.02
Th 0.5000 0.0000 0.5000  4 Zr 3.02, 4 Zn 3.02
Th 0.5000 0.5000 0.0000  4 Zr 3.02, 4 Zn 3.02
Zr 0.2500 0.2500 0.2500  4 Th 3.02
Zr 0.2500 0.7500 0.7500  4 Th 3.02
Zr 0.7500 0.2500 0.7500  4 Th 3.02
Zr 0.7500 0.7500 0.2500  4 Th 3.02
Zn 0.2500 0.2500 0.7500  4 Th 3.02
Zn 0.2500 0.7500 0.2500  4 Th 3.02
Zn 0.7500 0.2500 0.2500  4 Th 3.02
Zn 0.7500 0.7500 0.7500  4 Th 3.02

Properties
Space group ... F-43m (216)

---

(two)
Crystalline ThZrZn at its relaxed geometry, computed with GGA-PBE.

Unit cell a=6.7968 b=6.7968 c=6.7968 alpha=90.00 beta=90.00 gamma=90.00
With the nearest neighbours (Å) after each atom.
Positions (direct):
Th 0.0000 0.0000 0.0000  4 Zn 2.94
Th 0.0000 0.5000 0.5000  4 Zn 2.94
Th 0.5000 0.0000 0.5000  4 Zn 2.94
Th 0.5000 0.5000 0.0000  4 Zn 2.94
Zr 0.0000 0.0000 0.5000  4 Zn 2.94
Zr 0.0000 0.5000 0.0000  4 Zn 2.94
Zr 0.5000 0.0000 0.0000  4 Zn 2.94
Zr 0.5000 0.5000 0.5000  4 Zn 2.94
Zn 0.2500 0.2500 0.2500  4 Zr 2.94, 4 Th 2.94
Zn 0.2500 0.7500 0.7500  4 Zr 2.94, 4 Th 2.94
Zn 0.7500 0.2500 0.7500  4 Zr 2.94, 4 Th 2.94
Zn 0.7500 0.7500 0.2500  4 Zr 2.94, 4 Th 2.94

Properties
Space group ... F-43m (216)

---

Most stable structure, least stable structure: (two), (one).